Density functional theory data (GGA-PBE) for an optimized crystal structure of MgZrPO2.

Values from the calculation:
Energy relative to the elements, uncorrected   -0.970 eV/atom
Space-group type   P4/mmm
DOS(E_F)   0.602 states/eV per atom

Cell: 3.8297 3.8297 4.8804 Å, 90.00 90.00 90.00°
Closest atoms and distances in Å follow each position.
Fractional coordinates of all 5 atoms:
O 0.0000 0.5000 0.0000  2 Mg 1.91
O 0.5000 0.0000 0.0000  2 Mg 1.91
P 0.0000 0.0000 0.5000  2 Mg 2.44, 4 Zr 2.71
Mg 0.0000 0.0000 0.0000  4 O 1.91
Zr 0.5000 0.5000 0.5000  4 P 2.71

Density functional theory data (GGA-PBE) for an optimized crystal structure of Cu2SiP.

Values from the calculation:
Energy relative to the elements, uncorrected   0.282 eV/atom
Space-group type   P4/mmm
DOS(E_F)   0.499 states/eV per atom

Cell: 4.7223 4.7223 2.4338 Å, 90.00 90.00 90.00°
Closest atoms and distances in Å follow each position.
Fractional coordinates of all 4 atoms:
P 0.5000 0.0000 0.5000  2 P 2.43, 8 Cu 2.66
Cu 0.5000 0.5000 0.0000  2 Cu 2.43, 4 Si 2.66, 4 P 2.66
Cu 0.0000 0.0000 0.0000  2 Cu 2.43, 4 Si 2.66, 4 P 2.66
Si 0.0000 0.5000 0.5000  2 Si 2.43, 8 Cu 2.66

Density functional theory data (GGA-PBE) for an optimized crystal structure of Sr2MnGePt6.

Values from the calculation:
Energy of formation   -5.642 eV per formula unit
Space-group type   C2/m
DOS(E_F)   0.393 states/eV per atom

Cell: 5.5679 8.4872 6.7201 Å, 52.58 65.53 90.00°
Closest atoms and distances in Å follow each position.
Fractional coordinates of all 10 atoms:
Mn 0.0000 0.0000 0.0000  6 Pt 2.56-2.59
Pt 0.7506 0.6129 0.4989  1 Ge 2.53, 1 Mn 2.59, 4 Pt 2.69-2.74
Pt 0.2494 0.3871 0.5011  1 Ge 2.53, 1 Mn 2.59, 4 Pt 2.69-2.74
Pt 0.7667 0.2686 0.9680  1 Ge 2.52, 1 Mn 2.56, 4 Pt 2.69-2.79
Pt 0.2653 0.2686 0.9680  1 Ge 2.52, 1 Mn 2.56, 4 Pt 2.69-2.79
Pt 0.2333 0.7314 0.0320  1 Ge 2.52, 1 Mn 2.56, 4 Pt 2.69-2.79
Pt 0.7347 0.7314 0.0320  1 Ge 2.52, 1 Mn 2.56, 4 Pt 2.69-2.79
Sr 0.2553 0.8021 0.4895  9 Pt 3.20-3.52
Sr 0.7447 0.1979 0.5105  9 Pt 3.20-3.52
Ge 0.5000 0.5000 0.0000  6 Pt 2.52-2.53